1.
Entry from Alexandria: a relaxed structure of BeCd2Cu2 (PBE).

The value obtained for the magnetic moment is 0.00 μB per formula unit. Its space group is P4/mbm, No. 127. For the formation energy, the calculation gives 0.9 eV per formula unit. The distance to the lowest polymorph of the same formula comes out at 0 meV/atom.

```
BeCd2Cu2
1.0
-0.584 -5.637 1.970
-0.253 -1.954 -5.667
4.244 -0.451 -0.034
Be Cu Cd
2 4 4
Direct
0.000 0.000 0.000
0.500 0.500 0.000
0.352 0.852 0.000
0.852 0.648 0.000
0.648 0.148 0.000
0.148 0.352 0.000
0.170 0.670 0.500
0.670 0.830 0.500
0.830 0.330 0.500
0.330 0.170 0.500
```

=====

2.
Entry from Alexandria: a relaxed structure of Be2CdCu (PBE).

The value obtained for the magnetic moment is 0.00 μB per formula unit. Its space group is I-4m2, No. 119. For the formation energy, the calculation gives 1.2 eV per formula unit.

```
Be2CdCu
1.0
-2.155 3.949 0.996
-3.056 -0.418 3.423
4.417 -1.202 -0.523
Be Cu Cd
2 1 1
Direct
0.000 0.000 0.000
0.250 0.750 0.500
0.750 0.250 0.500
0.500 0.500 0.000
```

=====

3.
Entry from Alexandria: a relaxed structure of BeCdCu4 (PBE).

The value obtained for the magnetic moment is 0.00 μB per formula unit. Its space group is F-43m, No. 216. For the formation energy, the calculation gives 1.3 eV per formula unit.

```
BeCdCu4
1.0
0.000 3.443 3.443
3.443 0.000 3.443
3.443 3.443 0.000
Be Cd Cu
1 1 4
Direct
0.250 0.250 0.250
0.000 0.000 0.000
0.624 0.624 0.127
0.624 0.127 0.624
0.624 0.624 0.624
0.127 0.624 0.624
```

=====

4.
Entry from Alexandria: a relaxed structure of Be2CdCu (PBE).

The value obtained for the magnetic moment is 0.00 μB per formula unit. Its space group is Cm, No. 8. For the formation energy, the calculation gives 1.0 eV per formula unit.

```
Be2CdCu
1.0
-3.896 2.164 -0.709
-4.495 -0.344 0.209
-1.125 1.700 3.910
Be Cu Cd
2 1 1
Direct
0.010 0.010 0.011
0.725 0.725 0.789
0.272 0.272 0.178
0.492 0.492 0.522
```

=====

5.
Entry from Alexandria: a relaxed structure of Be2CdCu (PBE).

The value obtained for the magnetic moment is 0.00 μB per formula unit. Its space group is I4_1/amd, No. 141. For the formation energy, the calculation gives 2.0 eV per formula unit.

```
Be2CdCu
1.0
4.063 0.000 0.000
0.000 4.063 0.000
2.032 2.032 7.687
Be Cu Cd
4 2 2
Direct
0.374 0.125 0.250
0.376 0.625 0.250
0.375 0.626 0.750
0.875 0.624 0.750
0.500 0.500 0.000
0.250 0.750 0.500
0.000 0.000 0.000
0.750 0.250 0.500
```

=====

6.
Entry from Alexandria: a relaxed structure of BeCdCu3 (PBE).

The value obtained for the magnetic moment is 0.00 μB per formula unit. Its space group is Pm-3m, No. 221. For the formation energy, the calculation gives 1.5 eV per formula unit. The distance to the lowest polymorph of the same formula comes out at 0 meV/atom.

```
BeCdCu3
1.0
4.124 0.000 0.000
0.000 4.124 0.000
0.000 0.000 4.124
Be Cu Cd
1 3 1
Direct
0.000 0.000 0.000
0.000 0.500 0.000
0.000 0.000 0.500
0.500 0.000 0.000
0.500 0.500 0.500
```

=====

7.
Entry from Alexandria: a relaxed structure of BeCd2Cu (PBE).

The value obtained for the magnetic moment is 0.00 μB per formula unit. Its space group is I-42d, No. 122. For the formation energy, the calculation gives 1.9 eV per formula unit. The distance to the lowest polymorph of the same formula comes out at 346 meV/atom.

```
BeCd2Cu
1.0
8.605 0.000 0.000
0.000 8.605 0.000
4.303 4.303 2.168
Be Cu Cd
2 2 4
Direct
0.500 0.500 0.000
0.250 0.750 0.500
0.000 0.000 0.000
0.750 0.250 0.500
0.496 0.125 0.250
0.254 0.625 0.250
0.375 0.504 0.750
0.875 0.746 0.750
```

=====

8.
Entry from Alexandria: a relaxed structure of Be2CdCu (PBE).

The value obtained for the magnetic moment is 0.00 μB per formula unit. Its space group is C2/m, No. 12. For the formation energy, the calculation gives 1.0 eV per formula unit.

```
Be2CdCu
1.0
-1.059 1.803 3.687
-3.269 1.779 2.028
-1.741 -3.736 2.371
Be Cu Cd
2 1 1
Direct
0.985 0.985 0.081
0.515 0.515 0.419
0.250 0.250 0.250
0.750 0.750 0.750
```